1.
A relaxed structure of NaScPb. Source: Alexandria via LeMat-Bulk, functional GGA-PBE.

```
NaScPb
1.0
0.0000 3.5437 3.5437
3.5437 0.0000 3.5437
3.5437 3.5437 0.0000
Na Sc Pb
1 1 1
Cartesian
0.0000 0.0000 0.0000
3.5437 3.5437 3.5437
5.3155 5.3155 5.3155
```

Calculated values
ΔE to the lowest computed polymorph in meV per atom: 188
DFT total energy in eV for the cell shown: -11.56
Total moment in μB per cell: 0.000
Calculated formation energy in eV per atom: -0.068


2.
A relaxed structure of NaScPb. Source: Alexandria via LeMat-Bulk, functional GGA-PBE.

```
NaScPb
1.0
3.4765 0.0000 0.0000
0.0000 4.5816 0.0000
0.0000 0.0000 9.7989
Na Sc Pb
2 2 2
Cartesian
0.8691 1.1454 0.8320
2.6074 3.4362 8.9668
0.8691 1.1454 4.0681
2.6074 3.4362 5.7307
0.8691 1.1454 7.1446
2.6074 3.4362 2.6542
```

Calculated values
ΔE to the lowest computed polymorph in meV per atom: 29
DFT total energy in eV for the cell shown: -24.08
Total moment in μB per cell: 0.565
Calculated formation energy in eV per atom: -0.228


3.
A relaxed structure of NaScPb2. Source: Alexandria via LeMat-Bulk, functional GGA-PBE.

```
NaScPb2
1.0
4.8651 0.0000 0.0000
0.0000 4.8651 0.0000
0.0000 0.0000 4.3348
Na Sc Pb
1 1 2
Cartesian
0.0000 0.0000 0.0000
2.4325 2.4325 0.0000
0.0000 2.4325 2.1674
2.4325 0.0000 2.1674
```

Calculated values
DFT total energy in eV for the cell shown: -15.92
Total moment in μB per cell: 0.000
Calculated formation energy in eV per atom: -0.213


4.
A relaxed structure of NaScPb2. Source: Alexandria via LeMat-Bulk, functional GGA-PBE.

```
NaScPb2
1.0
-4.0916 4.0916 3.3774
4.0916 -4.0916 3.3774
4.0916 4.0916 -3.3774
Na Sc Pb
2 2 4
Cartesian
0.0000 0.0000 0.0000
0.0000 4.0916 1.6887
4.0916 0.0000 1.6887
0.0000 0.0000 3.3774
2.0458 -2.0340 2.5330
2.0575 2.0458 0.8443
2.0458 6.1256 -0.8443
2.0340 2.0458 4.2217
```

Calculated values
DFT total energy in eV for the cell shown: -29.56
Total moment in μB per cell: 0.000
Calculated formation energy in eV per atom: 0.072